Record 1
# Pm3ZnCu (PBE, optimized geometry)
# Final energy ... -4.103 eV/atom
# Crystal system ... orthorhombic
# Fermi-level density of states ... 9.78 states/eV per cell
# ΔH_f (0 K) ... -178 meV per atom
data_Pm3ZnCu
_chemical_formula_sum 'Pm6 Zn2 Cu2'
_space_group_name_H-M_alt 'P 1'
_space_group_IT_number 1
_cell_length_a 10.139
_cell_length_b 10.139
_cell_length_c 5.139
_cell_angle_alpha 90.00
_cell_angle_beta 90.00
_cell_angle_gamma 150.64
loop_
_space_group_symop_operation_xyz
'x,y,z'
loop_
_atom_site_label
_atom_site_type_symbol
_atom_site_fract_x
_atom_site_fract_y
_atom_site_fract_z
Pm1 Pm 0.068 0.932 0.750
Pm2 Pm 0.249 0.751 0.750
Pm3 Pm 0.430 0.570 0.750
Pm4 Pm 0.570 0.430 0.250
Pm5 Pm 0.751 0.249 0.250
Pm6 Pm 0.932 0.068 0.250
Zn1 Zn 0.158 0.842 0.250
Zn2 Zn 0.842 0.158 0.750
Cu1 Cu 0.338 0.662 0.250
Cu2 Cu 0.662 0.338 0.750

***

Record 2
# BaMgTl2 (PBE, optimized geometry)
# Final energy ... -2.229 eV/atom
# Crystal system ... monoclinic
# Fermi-level density of states ... 1.79 states/eV per cell
# ΔH_f (0 K) ... -167 meV per atom
data_BaMgTl2
_chemical_formula_sum 'Ba1 Mg1 Tl2'
_space_group_name_H-M_alt 'P 1'
_space_group_IT_number 1
_cell_length_a 3.978
_cell_length_b 5.055
_cell_length_c 7.019
_cell_angle_alpha 90.00
_cell_angle_beta 106.35
_cell_angle_gamma 90.00
loop_
_space_group_symop_operation_xyz
'x,y,z'
loop_
_atom_site_label
_atom_site_type_symbol
_atom_site_fract_x
_atom_site_fract_y
_atom_site_fract_z
Ba1 Ba 0.000 0.000 0.000
Mg1 Mg 0.707 0.500 0.414
Tl1 Tl 0.256 0.000 0.508
Tl2 Tl 0.396 0.500 0.792

***

Record 3
# MnCr2Ir (PBE, optimized geometry)
# Final energy ... -9.281 eV/atom
# Crystal system ... tetragonal
# Fermi-level density of states ... 4.32 states/eV per cell
# ΔH_f (0 K) ... 38 meV per atom
data_MnCr2Ir
_chemical_formula_sum 'Mn1 Cr2 Ir1'
_space_group_name_H-M_alt 'P 1'
_space_group_IT_number 1
_cell_length_a 2.817
_cell_length_b 2.817
_cell_length_c 6.185
_cell_angle_alpha 90.00
_cell_angle_beta 90.00
_cell_angle_gamma 90.00
loop_
_space_group_symop_operation_xyz
'x,y,z'
loop_
_atom_site_label
_atom_site_type_symbol
_atom_site_fract_x
_atom_site_fract_y
_atom_site_fract_z
Mn1 Mn 0.000 0.000 0.000
Cr1 Cr 0.000 0.000 0.439
Cr2 Cr 0.500 0.500 0.190
Ir1 Ir 0.500 0.500 0.700

***

Record 4
# P2SeS6 (PBE, optimized geometry)
# ΔE_f (raw) ... 0.037 eV/atom
# Final energy ... -4.304 eV/atom
# Crystal system ... monoclinic
data_P2SeS6
_chemical_formula_sum 'P4 Se2 S12'
_space_group_name_H-M_alt 'P 1'
_space_group_IT_number 1
_cell_length_a 9.780
_cell_length_b 9.780
_cell_length_c 5.778
_cell_angle_alpha 100.85
_cell_angle_beta 100.85
_cell_angle_gamma 99.28
loop_
_space_group_symop_operation_xyz
'x,y,z'
loop_
_atom_site_label
_atom_site_type_symbol
_atom_site_fract_x
_atom_site_fract_y
_atom_site_fract_z
P1 P 0.153 0.291 0.276
P2 P 0.291 0.153 0.776
P3 P 0.709 0.847 0.224
P4 P 0.847 0.709 0.724
Se1 Se 0.415 0.585 0.750
Se2 Se 0.585 0.415 0.250
S1 S 0.027 0.672 0.874
S2 S 0.115 0.229 0.597
S3 S 0.229 0.115 0.097
S4 S 0.309 0.477 0.337
S5 S 0.328 0.973 0.626
S6 S 0.477 0.309 0.837
S7 S 0.523 0.691 0.163
S8 S 0.672 0.027 0.374
S9 S 0.691 0.523 0.663
S10 S 0.771 0.885 0.903
S11 S 0.885 0.771 0.403
S12 S 0.973 0.328 0.126

***

Record 5
# Dy3Ir (PBE, optimized geometry)
# Final energy ... -5.847 eV/atom
# Crystal system ... orthorhombic
# Fermi-level density of states ... 5.17 states/eV per cell
# ΔH_f (0 K) ... -180 meV per atom
data_Dy3Ir
_chemical_formula_sum 'Dy3 Ir1'
_space_group_name_H-M_alt 'P 1'
_space_group_IT_number 1
_cell_length_a 3.396
_cell_length_b 3.665
_cell_length_c 9.198
_cell_angle_alpha 90.00
_cell_angle_beta 90.00
_cell_angle_gamma 90.00
loop_
_space_group_symop_operation_xyz
'x,y,z'
loop_
_atom_site_label
_atom_site_type_symbol
_atom_site_fract_x
_atom_site_fract_y
_atom_site_fract_z
Dy1 Dy 0.000 0.000 0.000
Dy2 Dy 0.000 0.500 0.342
Dy3 Dy 0.500 0.500 0.715
Ir1 Ir 0.500 0.000 0.489

***

Record 6
# Ho2SiNi6B (PBE, optimized geometry)
# ΔE_f (raw) ... -0.535 eV/atom
# Final energy ... -6.129 eV/atom
# Crystal system ... monoclinic
# Fermi-level density of states ... 5.94 states/eV per cell
data_Ho2SiNi6B
_chemical_formula_sum 'Ho2 Si1 Ni6 B1'
_space_group_name_H-M_alt 'P 1'
_space_group_IT_number 1
_cell_length_a 5.351
_cell_length_b 5.351
_cell_length_c 6.443
_cell_angle_alpha 114.61
_cell_angle_beta 114.61
_cell_angle_gamma 59.90
loop_
_space_group_symop_operation_xyz
'x,y,z'
loop_
_atom_site_label
_atom_site_type_symbol
_atom_site_fract_x
_atom_site_fract_y
_atom_site_fract_z
Ho1 Ho 0.220 0.220 0.161
Ho2 Ho 0.780 0.780 0.839
Si1 Si 0.500 0.500 0.000
Ni1 Ni 0.237 0.237 0.677
Ni2 Ni 0.238 0.703 0.677
Ni3 Ni 0.297 0.762 0.323
Ni4 Ni 0.703 0.238 0.677
Ni5 Ni 0.762 0.297 0.323
Ni6 Ni 0.763 0.763 0.323
B1 B 0.000 0.000 0.500